(1)
Density functional theory data (PBE) for YEr2Fe after structural relaxation.

Unit cell a=7.052 b=9.070 c=6.224 alpha=90.00 beta=90.00 gamma=90.00
Space group Pnma (No. 62)
Asymmetric unit:
Y 0.047 0.250 0.134 x4
Er 0.174 0.066 0.670 x8
Fe 0.110 0.750 0.460 x4

Results
Spin magnetization (Bohr magnetons per cell): 0.001
E above lowest polymorph (meV per atom): 0
Energy of formation (eV/atom): -0.0205

---

(2)
Density functional theory data (PBE) for YEr2Fe after structural relaxation.

Unit cell a=3.328 b=3.328 c=8.985 alpha=90.00 beta=90.00 gamma=90.00
Space group P4/mmm (No. 123)
Asymmetric unit:
Y 0.000 0.000 0.000 x1
Er 0.500 0.500 0.323 x2
Fe 0.000 0.000 0.500 x1

Results
Spin magnetization (Bohr magnetons per cell): 0.002
E above lowest polymorph (meV per atom): 84
Energy of formation (eV/atom): 0.0635

---

(3)
Density functional theory data (PBE) for YEr3Fe8 after structural relaxation.

Unit cell a=5.1114 b=5.1114 c=24.9802 alpha=90.00 beta=90.00 gamma=120.00
Space group R3m (No. 160, hexagonal axes)
Asymmetric unit:
Y 0.0000 0.0000 0.0000 x3
Er 0.0000 0.0000 0.3753 x3
Er 0.0000 0.0000 0.5000 x3
Er 0.0000 0.0000 0.8749 x3
Fe 0.0000 0.0000 0.1874 x3
Fe 0.0000 0.0000 0.6878 x3
Fe 0.9997 0.4999 0.9371 x9
Fe 0.0009 0.5004 0.4380 x9

Results
Spin magnetization (Bohr magnetons per cell): 38.834
Energy of formation (eV/atom): -0.1070

---

(4)
Density functional theory data (PBE) for Y3ErFe8 after structural relaxation.

Unit cell a=5.1371 b=5.1371 c=25.1218 alpha=90.00 beta=90.00 gamma=120.00
Space group R3m (No. 160, hexagonal axes)
Asymmetric unit:
Y 0.0000 0.0000 0.0000 x3
Y 0.0000 0.0000 0.1251 x3
Y 0.0000 0.0000 0.5004 x3
Er 0.0000 0.0000 0.6251 x3
Fe 0.0000 0.0000 0.3125 x3
Fe 0.0000 0.0000 0.8128 x3
Fe 0.0003 0.5002 0.5631 x9
Fe 0.1672 0.3343 0.3956 x9

Results
Spin magnetization (Bohr magnetons per cell): 39.058
Energy of formation (eV/atom): -0.0781

---

(5)
Density functional theory data (PBE) for Y3ErFe after structural relaxation.

Unit cell a=5.277 b=5.277 c=5.277 alpha=90.00 beta=90.00 gamma=90.00
Space group Pm-3m (No. 221)
Asymmetric unit:
Y 0.000 0.000 0.500 x3
Er 0.500 0.500 0.500 x1
Fe 0.000 0.000 0.000 x1

Results
Spin magnetization (Bohr magnetons per cell): 0.017
Energy of formation (eV/atom): 0.1327

---

(6)
Density functional theory data (PBE) for YErZnFe after structural relaxation.

Unit cell a=6.911 b=6.911 c=6.911 alpha=90.00 beta=90.00 gamma=90.00
Space group F-43m (No. 216)
Asymmetric unit:
Y 0.000 0.000 0.000 x4
Er 0.000 0.000 0.500 x4
Zn 0.250 0.250 0.250 x4
Fe 0.250 0.250 0.750 x4

Results
Spin magnetization (Bohr magnetons per cell): 4.702
Energy of formation (eV/atom): -0.0805

---

(7)
Density functional theory data (PBE) for Er2Zn2Fe15 after structural relaxation.

Unit cell a=8.4104 b=8.4104 c=12.2881 alpha=90.00 beta=90.00 gamma=120.00
Space group R-3m (No. 166, hexagonal axes)
Asymmetric unit:
Er 0.0000 0.0000 0.1550 x6
Zn 0.0000 0.0000 0.4004 x6
Fe 0.0000 0.3106 0.5000 x18
Fe 0.0000 0.5000 0.0000 x9
Fe 0.0008 0.5004 0.6604 x18

Results
Spin magnetization (Bohr magnetons per cell): 86.522
Energy of formation (eV/atom): -0.0269

---

(8)
Density functional theory data (PBE) for Er2ZnFe after structural relaxation.

Unit cell a=3.4940 b=3.4940 c=28.9296 alpha=90.00 beta=90.00 gamma=120.00
Space group R-3m (No. 166, hexagonal axes)
Asymmetric unit:
Er 0.0000 0.0000 0.1064 x6
Zn 0.0000 0.0000 0.0000 x3
Fe 0.0000 0.0000 0.5000 x3

Results
Spin magnetization (Bohr magnetons per cell): 2.207
Energy of formation (eV/atom): 0.3637

---

(9)
Density functional theory data (PBE) for Er4Zn3Fe after structural relaxation.

Unit cell a=3.465 b=3.465 c=14.138 alpha=90.00 beta=90.00 gamma=90.00
Space group P4/mmm (No. 123)
Asymmetric unit:
Er 0.000 0.000 0.113 x2
Er 0.000 0.000 0.373 x2
Zn 0.500 0.500 0.245 x2
Zn 0.500 0.500 0.500 x1
Fe 0.500 0.500 0.000 x1

Results
Spin magnetization (Bohr magnetons per cell): 0.982
Energy of formation (eV/atom): -0.2399

---

(10)
Density functional theory data (PBE) for Er4ZnFe after structural relaxation.

Unit cell a=8.302 b=12.180 c=6.017 alpha=90.00 beta=105.07 gamma=90.00
Space group C2/c (No. 15)
Asymmetric unit:
Er 0.104 0.167 0.038 x8
Er 0.211 0.420 0.409 x8
Zn 0.000 0.371 0.750 x4
Fe 0.000 0.002 0.250 x4

Results
Spin magnetization (Bohr magnetons per cell): 0.000
Energy of formation (eV/atom): -0.1295

---

(11)
Density functional theory data (PBE) for Er6ZnFe after structural relaxation.

Unit cell a=4.899 b=4.899 c=17.019 alpha=90.00 beta=90.00 gamma=90.00
Space group I4/mmm (No. 139)
Asymmetric unit:
Er 0.000 0.000 0.250 x4
Er 0.000 0.500 0.097 x8
Zn 0.000 0.000 0.000 x2
Fe 0.000 0.000 0.500 x2

Results
Spin magnetization (Bohr magnetons per cell): 2.552
Energy of formation (eV/atom): -0.0218

---

(12)
Density functional theory data (PBE) for Er2ZnFe after structural relaxation.

Unit cell a=3.356 b=3.356 c=7.113 alpha=90.00 beta=90.00 gamma=90.00
Space group P4/mmm (No. 123)
Asymmetric unit:
Er 0.000 0.000 0.224 x2
Zn 0.500 0.500 0.500 x1
Fe 0.500 0.500 0.000 x1

Results
Spin magnetization (Bohr magnetons per cell): 0.000
Energy of formation (eV/atom): -0.1347

---

Which value of energy of formation does entry 3 give?
-0.1070 eV/atom

---

Please write out number 4 again, unchanged.
Density functional theory data (PBE) for Y3ErFe8 after structural relaxation.

Unit cell a=5.1371 b=5.1371 c=25.1218 alpha=90.00 beta=90.00 gamma=120.00
Space group R3m (No. 160, hexagonal axes)
Asymmetric unit:
Y 0.0000 0.0000 0.0000 x3
Y 0.0000 0.0000 0.1251 x3
Y 0.0000 0.0000 0.5004 x3
Er 0.0000 0.0000 0.6251 x3
Fe 0.0000 0.0000 0.3125 x3
Fe 0.0000 0.0000 0.8128 x3
Fe 0.0003 0.5002 0.5631 x9
Fe 0.1672 0.3343 0.3956 x9

Results
Spin magnetization (Bohr magnetons per cell): 39.058
Energy of formation (eV/atom): -0.0781

---

Which of these has the lowest energy of formation?
Er4Zn3Fe